Entry 1:
A plane-wave DFT calculation with PBE was carried out for a geometry-optimized Nd2Ho3Tm9 structure.

Lattice parameters (Å, degrees): 6.357 8.317 8.833 87.14 82.74 70.87
Element x y z (fractional)
Nd1 0.000 0.000 0.000
Nd2 0.153 0.646 0.197
Ho1 0.472 0.034 0.789
Ho2 0.627 0.347 0.167
Ho3 0.803 0.549 0.450
Tm1 0.081 0.386 0.946
Tm2 0.193 0.175 0.283
Tm3 0.314 0.825 0.500
Tm4 0.348 0.391 0.543
Tm5 0.510 0.579 0.826
Tm6 0.606 0.786 0.121
Tm7 0.755 0.985 0.413
Tm8 0.926 0.198 0.662
Tm9 0.952 0.736 0.744

Summary:
**Symmetry**: P1, No. 1
**E_form**: 0.09 eV per atom

---

Entry 2:
A plane-wave DFT calculation with PBE was carried out for a geometry-optimized Nd2Ho4Tm3 structure.

Lattice parameters (Å, degrees): 9.921 9.921 6.124 94.97 94.97 71.44
Element x y z (fractional)
Nd1 0.024 0.732 0.679
Nd2 0.268 0.976 0.821
Nd3 0.732 0.024 0.179
Nd4 0.976 0.268 0.321
Ho1 0.077 0.355 0.848
Ho2 0.313 0.593 0.986
Ho3 0.355 0.077 0.348
Ho4 0.407 0.687 0.514
Ho5 0.593 0.313 0.486
Ho6 0.645 0.923 0.652
Ho7 0.687 0.407 0.014
Ho8 0.923 0.645 0.152
Tm1 0.099 0.901 0.250
Tm2 0.237 0.433 0.406
Tm3 0.433 0.237 0.906
Tm4 0.567 0.763 0.094
Tm5 0.763 0.567 0.594
Tm6 0.901 0.099 0.750

Summary:
**Symmetry**: C2/c, No. 15
**E_form**: 0.09 eV per atom

---

Entry 3:
A plane-wave DFT calculation with PBE was carried out for a geometry-optimized Nd5Ho6Tm structure.

Lattice parameters (Å, degrees): 9.491 9.491 9.491 148.92 115.80 73.04
Element x y z (fractional)
Nd1 0.000 0.000 0.000
Nd2 0.167 0.667 0.500
Nd3 0.335 0.335 0.000
Nd4 0.665 0.665 0.000
Nd5 0.833 0.333 0.500
Ho1 0.085 0.834 0.251
Ho2 0.252 0.500 0.752
Ho3 0.417 0.166 0.251
Ho4 0.583 0.834 0.749
Ho5 0.748 0.500 0.248
Ho6 0.915 0.166 0.749
Tm1 0.500 0.000 0.500

Summary:
**Symmetry**: Immm, No. 71
**E_form**: 0.02 eV per atom

---

Entry 4:
A plane-wave DFT calculation with PBE was carried out for a geometry-optimized Nd12HoTm2 structure.

Lattice parameters (Å, degrees): 6.546 6.546 25.586 90.00 90.00 90.00
Element x y z (fractional)
Nd1 0.068 0.568 0.114
Nd2 0.068 0.932 0.886
Nd3 0.082 0.582 0.563
Nd4 0.082 0.918 0.437
Nd5 0.250 0.250 0.215
Nd6 0.250 0.250 0.337
Nd7 0.250 0.250 0.663
Nd8 0.250 0.250 0.785
Nd9 0.418 0.582 0.437
Nd10 0.418 0.918 0.563
Nd11 0.432 0.568 0.886
Nd12 0.432 0.932 0.114
Nd13 0.568 0.068 0.886
Nd14 0.568 0.432 0.114
Nd15 0.582 0.082 0.437
Nd16 0.582 0.418 0.563
Nd17 0.750 0.750 0.215
Nd18 0.750 0.750 0.337
Nd19 0.750 0.750 0.663
Nd20 0.750 0.750 0.785
Nd21 0.918 0.082 0.563
Nd22 0.918 0.418 0.437
Nd23 0.932 0.068 0.114
Nd24 0.932 0.432 0.886
Ho1 0.250 0.750 0.000
Ho2 0.750 0.250 0.000
Tm1 0.250 0.750 0.273
Tm2 0.250 0.750 0.727
Tm3 0.750 0.250 0.273
Tm4 0.750 0.250 0.727

Summary:
**Symmetry**: P4/nbm, No. 125
**E_form**: 0.33 eV per atom

---

Entry 5:
A plane-wave DFT calculation with PBE was carried out for a geometry-optimized Nd4Ho5Tm2 structure.

Lattice parameters (Å, degrees): 12.475 12.475 12.475 163.89 136.53 46.65
Element x y z (fractional)
Nd1 0.096 0.096 0.000
Nd2 0.206 0.500 0.706
Nd3 0.794 0.500 0.294
Nd4 0.904 0.904 0.000
Ho1 0.150 0.351 0.799
Ho2 0.448 0.649 0.799
Ho3 0.500 0.000 0.500
Ho4 0.552 0.351 0.201
Ho5 0.850 0.649 0.201
Tm1 0.230 0.230 0.000
Tm2 0.770 0.770 0.000

Summary:
**Symmetry**: Immm, No. 71
**E_form**: 0.29 eV per atom

---

Entry 6:
A plane-wave DFT calculation with PBE was carried out for a geometry-optimized Nd4HoTm7 structure.

Lattice parameters (Å, degrees): 6.545 6.812 8.997 84.22 77.14 81.02
Element x y z (fractional)
Nd1 0.140 0.307 0.288
Nd2 0.332 0.886 0.692
Nd3 0.668 0.114 0.308
Nd4 0.860 0.693 0.712
Ho1 0.500 0.500 0.000
Tm1 0.011 0.253 0.953
Tm2 0.181 0.797 0.354
Tm3 0.314 0.395 0.620
Tm4 0.500 0.000 0.000
Tm5 0.686 0.605 0.380
Tm6 0.819 0.203 0.646
Tm7 0.989 0.747 0.047

Summary:
**Symmetry**: P-1, No. 2
**E_form**: 0.09 eV per atom

---

Entry 7:
A plane-wave DFT calculation with PBE was carried out for a geometry-optimized Nd4HoTm6 structure.

Lattice parameters (Å, degrees): 9.665 9.665 9.665 139.90 139.90 58.01
Element x y z (fractional)
Nd1 0.014 0.635 0.000
Nd2 0.365 0.365 0.379
Nd3 0.635 0.014 0.000
Nd4 0.986 0.986 0.621
Ho1 0.000 0.000 0.000
Tm1 0.000 0.500 0.500
Tm2 0.198 0.198 0.644
Tm3 0.446 0.802 0.000
Tm4 0.500 0.000 0.500
Tm5 0.554 0.554 0.356
Tm6 0.802 0.446 0.000

Summary:
**Symmetry**: I-42m, No. 121
**E_form**: 0.30 eV per atom

---

Entry 8:
A plane-wave DFT calculation with PBE was carried out for a geometry-optimized Nd7Ho6Tm16 structure.

Lattice parameters (Å, degrees): 10.981 10.981 10.981 60.00 60.00 60.00
Element x y z (fractional)
Nd1 0.000 0.000 0.000
Nd2 0.000 0.000 0.500
Nd3 0.000 0.500 0.000
Nd4 0.000 0.500 0.500
Nd5 0.500 0.000 0.000
Nd6 0.500 0.000 0.500
Nd7 0.500 0.500 0.000
Ho1 0.225 0.225 0.775
Ho2 0.225 0.775 0.225
Ho3 0.225 0.775 0.775
Ho4 0.775 0.225 0.225
Ho5 0.775 0.225 0.775
Ho6 0.775 0.775 0.225
Tm1 0.149 0.149 0.149
Tm2 0.149 0.149 0.552
Tm3 0.149 0.552 0.149
Tm4 0.160 0.613 0.613
Tm5 0.387 0.387 0.387
Tm6 0.387 0.387 0.840
Tm7 0.387 0.840 0.387
Tm8 0.448 0.851 0.851
Tm9 0.552 0.149 0.149
Tm10 0.613 0.160 0.613
Tm11 0.613 0.613 0.160
Tm12 0.613 0.613 0.613
Tm13 0.840 0.387 0.387
Tm14 0.851 0.448 0.851
Tm15 0.851 0.851 0.448
Tm16 0.851 0.851 0.851

Summary:
**Symmetry**: Fm-3m, No. 225
**E_form**: 0.20 eV per atom

---

Sequential spin magnetization output: 0.00; 0.00; 0.00; 0.00; 0.00; 0.00; 0.00; 0.00 μB per cell